# PBE-GGA TcNi2Mo, optimized geometry
# raw total energy = -32.10 eV per cell
# V = 53.32 Å³/cell
# energy relative to the elements = 164 meV per atom
# magnetic moment = 0.00 Bohr magnetons per cell
# energy relative to the lowest polymorph listed for this composition = 210 meV per atom
data_TcNi2Mo
_cell_length_a 8.740
_cell_length_b 8.740
_cell_length_c 8.740
_cell_angle_alpha 17.61
_cell_angle_beta 17.61
_cell_angle_gamma 17.61
_space_group_name_H-M_alt 'P 1'
_space_group_IT_number 1
loop_
_space_group_symop_operation_xyz
'x,y,z'
loop_
_atom_site_label
_atom_site_type_symbol
_atom_site_fract_x
_atom_site_fract_y
_atom_site_fract_z
Ni1 Ni 0.252 0.252 0.252
Ni2 Ni 0.996 0.996 0.996
Tc1 Tc 0.505 0.505 0.505
Mo1 Mo 0.746 0.746 0.746